[1]
Density functional theory data (PBE) for a geometry-optimized ZnGe structure.

The value obtained for the total energy is -0.0992 hartree per atom. The formation energy is 246 meV per atom. The total moment is 0.0 μB/f.u.

It has space group Fddd (No. 70, origin choice 2), with a = 8.283 Å, b = 8.432 Å, c = 9.112 Å, α = 90.00°, β = 90.00° and γ = 90.00°. The distinct sites, in fractional coordinates, are Zn at (0.125, 0.278, 0.125) and Ge at (0.125, 0.125, 0.488).


[2]
Density functional theory data (PBE) for a geometry-optimized La2Be3Ge4Rh structure.

The value obtained for the total energy is -0.1907 hartree per atom. The formation energy is -504 meV per atom. The total moment is 0.0 μB/f.u.

It has space group P-4m2 (No. 115), with a = 4.191 Å, b = 4.191 Å, c = 9.956 Å, α = 90.00°, β = 90.00° and γ = 90.00°. The distinct sites, in fractional coordinates, are La at (0.000, 0.500, 0.248), Be at (0.000, 0.500, 0.874), Be at (0.500, 0.500, 0.500), Ge at (0.000, 0.000, 0.000), Ge at (0.000, 0.500, 0.634), Ge at (0.500, 0.500, 0.000) and Rh at (0.000, 0.000, 0.500).


[3]
Density functional theory data (PBE) for a geometry-optimized SmCdPb structure.

The value obtained for the total energy is -0.1247 hartree per atom. The formation energy is -279 meV per atom. The total moment is 0.0 μB/f.u.

It has space group Cmcm (No. 63), with a = 3.708 Å, b = 17.957 Å, c = 5.105 Å, α = 90.00°, β = 90.00° and γ = 90.00°. The distinct sites, in fractional coordinates, are Sm at (0.000, 0.107, 0.250), Cd at (0.000, 0.457, 0.250) and Pb at (0.000, 0.288, 0.250).


> Which formula does entry 2 have?

La2Be3Ge4Rh


Repeat the first record exactly.
Density functional theory data (PBE) for a geometry-optimized ZnGe structure.

The value obtained for the total energy is -0.0992 hartree per atom. The formation energy is 246 meV per atom. The total moment is 0.0 μB/f.u.

It has space group Fddd (No. 70, origin choice 2), with a = 8.283 Å, b = 8.432 Å, c = 9.112 Å, α = 90.00°, β = 90.00° and γ = 90.00°. The distinct sites, in fractional coordinates, are Zn at (0.125, 0.278, 0.125) and Ge at (0.125, 0.125, 0.488).